Entry 1:
# PBE-GGA LiErTiFe, optimized geometry
# Size of the total moment   0.00 Bohr magnetons per cell
data_LiErTiFe
_chemical_formula_sum 'Li4 Er4 Ti4 Fe4'
_cell_length_a 6.4060
_cell_length_b 6.4060
_cell_length_c 6.4060
_cell_angle_alpha 90.00
_cell_angle_beta 90.00
_cell_angle_gamma 90.00
_symmetry_space_group_name_H-M 'F -4 3 m'
_symmetry_Int_Tables_number 216
_symmetry_space_group_name_Hall 'F -4 2 3'
loop_
_atom_site_label
_atom_site_type_symbol
_atom_site_fract_x
_atom_site_fract_y
_atom_site_fract_z
Li1 Li 0.0000 0.0000 0.0000
Er1 Er 0.2500 0.2500 0.7500
Ti1 Ti 0.2500 0.2500 0.2500
Fe1 Fe 0.0000 0.0000 0.5000

Entry 2:
# PBE-GGA LiErTmFe, optimized geometry
# Size of the total moment   0.00 Bohr magnetons per cell
data_LiErTmFe
_chemical_formula_sum 'Li4 Er4 Tm4 Fe4'
_cell_length_a 6.7680
_cell_length_b 6.7680
_cell_length_c 6.7680
_cell_angle_alpha 90.00
_cell_angle_beta 90.00
_cell_angle_gamma 90.00
_symmetry_space_group_name_H-M 'F -4 3 m'
_symmetry_Int_Tables_number 216
_symmetry_space_group_name_Hall 'F -4 2 3'
loop_
_atom_site_label
_atom_site_type_symbol
_atom_site_fract_x
_atom_site_fract_y
_atom_site_fract_z
Li1 Li 0.0000 0.0000 0.0000
Er1 Er 0.2500 0.2500 0.2500
Tm1 Tm 0.2500 0.2500 0.7500
Fe1 Fe 0.0000 0.0000 0.5000

Entry 3:
# PBE-GGA ErLu3Fe, optimized geometry
# Size of the total moment   0.00 Bohr magnetons per cell
data_ErLu3Fe
_chemical_formula_sum 'Er1 Lu3 Fe1'
_cell_length_a 5.1407
_cell_length_b 5.1407
_cell_length_c 5.1407
_cell_angle_alpha 90.00
_cell_angle_beta 90.00
_cell_angle_gamma 90.00
_symmetry_space_group_name_H-M 'P m -3 m'
_symmetry_Int_Tables_number 221
_symmetry_space_group_name_Hall '-P 4 2 3'
loop_
_atom_site_label
_atom_site_type_symbol
_atom_site_fract_x
_atom_site_fract_y
_atom_site_fract_z
Er1 Er 0.0000 0.0000 0.0000
Lu1 Lu 0.0000 0.5000 0.5000
Fe1 Fe 0.5000 0.5000 0.5000

Entry 4:
# PBE-GGA ErLuMgFe, optimized geometry
# Size of the total moment   4.81 Bohr magnetons per cell
data_ErLuMgFe
_chemical_formula_sum 'Er4 Lu4 Mg4 Fe4'
_cell_length_a 7.0195
_cell_length_b 7.0195
_cell_length_c 7.0195
_cell_angle_alpha 90.00
_cell_angle_beta 90.00
_cell_angle_gamma 90.00
_symmetry_space_group_name_H-M 'F -4 3 m'
_symmetry_Int_Tables_number 216
_symmetry_space_group_name_Hall 'F -4 2 3'
loop_
_atom_site_label
_atom_site_type_symbol
_atom_site_fract_x
_atom_site_fract_y
_atom_site_fract_z
Er1 Er 0.0000 0.0000 0.0000
Lu1 Lu 0.0000 0.0000 0.5000
Mg1 Mg 0.2500 0.2500 0.7500
Fe1 Fe 0.2500 0.2500 0.2500

Entry 5:
# PBE-GGA ErLuFePd, optimized geometry
# Size of the total moment   0.09 Bohr magnetons per cell
data_ErLuFePd
_chemical_formula_sum 'Er4 Lu4 Fe4 Pd4'
_cell_length_a 6.7284
_cell_length_b 6.7284
_cell_length_c 6.7284
_cell_angle_alpha 90.00
_cell_angle_beta 90.00
_cell_angle_gamma 90.00
_symmetry_space_group_name_H-M 'F -4 3 m'
_symmetry_Int_Tables_number 216
_symmetry_space_group_name_Hall 'F -4 2 3'
loop_
_atom_site_label
_atom_site_type_symbol
_atom_site_fract_x
_atom_site_fract_y
_atom_site_fract_z
Er1 Er 0.0000 0.0000 0.0000
Lu1 Lu 0.0000 0.0000 0.5000
Fe1 Fe 0.2500 0.2500 0.7500
Pd1 Pd 0.2500 0.2500 0.2500

Entry 6:
# PBE-GGA ErLuZnFe, optimized geometry
# Size of the total moment   4.20 Bohr magnetons per cell
data_ErLuZnFe
_chemical_formula_sum 'Er4 Lu4 Zn4 Fe4'
_cell_length_a 6.8055
_cell_length_b 6.8055
_cell_length_c 6.8055
_cell_angle_alpha 90.00
_cell_angle_beta 90.00
_cell_angle_gamma 90.00
_symmetry_space_group_name_H-M 'F -4 3 m'
_symmetry_Int_Tables_number 216
_symmetry_space_group_name_Hall 'F -4 2 3'
loop_
_atom_site_label
_atom_site_type_symbol
_atom_site_fract_x
_atom_site_fract_y
_atom_site_fract_z
Er1 Er 0.0000 0.0000 0.0000
Lu1 Lu 0.0000 0.0000 0.5000
Zn1 Zn 0.2500 0.2500 0.7500
Fe1 Fe 0.2500 0.2500 0.2500

Entry 7:
# PBE-GGA Er5Mg2Fe2, optimized geometry
# Size of the total moment   0.03 Bohr magnetons per cell
data_Er5Mg2Fe2
_chemical_formula_sum 'Er20 Mg8 Fe8'
_cell_length_a 17.6575
_cell_length_b 7.0675
_cell_length_c 7.1411
_cell_angle_alpha 90.00
_cell_angle_beta 90.00
_cell_angle_gamma 90.00
_symmetry_space_group_name_H-M 'C m c e'
_symmetry_Int_Tables_number 64
_symmetry_space_group_name_Hall '-C 2ac 2'
loop_
_atom_site_label
_atom_site_type_symbol
_atom_site_fract_x
_atom_site_fract_y
_atom_site_fract_z
Er1 Er 0.0000 0.0000 0.0000
Er2 Er 0.1114 0.1850 0.3149
Mg1 Mg 0.2330 0.0000 0.0000
Fe1 Fe 0.0000 0.1049 0.6082

Entry 8:
# PBE-GGA Er4Mg5Fe2, optimized geometry
# Size of the total moment   1.98 Bohr magnetons per cell
data_Er4Mg5Fe2
_chemical_formula_sum 'Er4 Mg5 Fe2'
_cell_length_a 7.8603
_cell_length_b 3.6177
_cell_length_c 9.3825
_cell_angle_alpha 90.00
_cell_angle_beta 95.84
_cell_angle_gamma 90.00
_symmetry_space_group_name_H-M 'P 1 2/m 1'
_symmetry_Int_Tables_number 10
_symmetry_space_group_name_Hall '-P 2y'
loop_
_atom_site_label
_atom_site_type_symbol
_atom_site_fract_x
_atom_site_fract_y
_atom_site_fract_z
Er1 Er 0.1743 0.0000 0.3281
Er2 Er 0.2114 0.0000 0.9387
Mg1 Mg 0.1628 0.5000 0.6375
Mg2 Mg 0.4536 0.5000 0.1688
Mg3 Mg 0.5000 0.5000 0.5000
Fe1 Fe 0.0591 0.5000 0.1180

Entry 9:
# PBE-GGA Er6MgFe2, optimized geometry
# Size of the total moment   6.78 Bohr magnetons per cell
data_Er6MgFe2
_chemical_formula_sum 'Er24 Mg4 Fe8'
_cell_length_a 9.3935
_cell_length_b 9.5555
_cell_length_c 9.9769
_cell_angle_alpha 90.00
_cell_angle_beta 90.00
_cell_angle_gamma 90.00
_symmetry_space_group_name_H-M 'I m m m'
_symmetry_Int_Tables_number 71
_symmetry_space_group_name_Hall '-I 2 2'
loop_
_atom_site_label
_atom_site_type_symbol
_atom_site_fract_x
_atom_site_fract_y
_atom_site_fract_z
Er1 Er 0.0000 0.2151 0.2282
Er2 Er 0.2020 0.5000 0.1908
Er3 Er 0.2102 0.3123 0.5000
Mg1 Mg 0.0000 0.0000 0.0000
Mg2 Mg 0.0000 0.0000 0.5000
Fe1 Fe 0.0000 0.3842 0.0000
Fe2 Fe 0.0000 0.5000 0.3913

Entry 10:
# PBE-GGA Er3MgFe8, optimized geometry
# Size of the total moment   43.17 Bohr magnetons per cell
data_Er3MgFe8
_chemical_formula_sum 'Er9 Mg3 Fe24'
_cell_length_a 5.0561
_cell_length_b 5.0561
_cell_length_c 24.7541
_cell_angle_alpha 90.00
_cell_angle_beta 90.00
_cell_angle_gamma 120.00
_symmetry_space_group_name_H-M 'R 3 m'
_symmetry_Int_Tables_number 160
_symmetry_space_group_name_Hall 'R 3 -2"'
loop_
_atom_site_label
_atom_site_type_symbol
_atom_site_fract_x
_atom_site_fract_y
_atom_site_fract_z
Er1 Er 0.0000 0.0000 0.0000
Er2 Er 0.0000 0.0000 0.1267
Er3 Er 0.0000 0.0000 0.6215
Mg1 Mg 0.0000 0.0000 0.4983
Fe1 Fe 0.0000 0.0000 0.3122
Fe2 Fe 0.0000 0.0000 0.8113
Fe3 Fe 0.0007 0.5003 0.0629
Fe4 Fe 0.0008 0.5004 0.5610

Entry 11:
# PBE-GGA Er2MgFe2, optimized geometry
# Size of the total moment   0.00 Bohr magnetons per cell
data_Er2MgFe2
_chemical_formula_sum 'Er4 Mg2 Fe4'
_cell_length_a 3.7683
_cell_length_b 13.5195
_cell_length_c 4.1045
_cell_angle_alpha 90.00
_cell_angle_beta 90.00
_cell_angle_gamma 90.00
_symmetry_space_group_name_H-M 'C m m m'
_symmetry_Int_Tables_number 65
_symmetry_space_group_name_Hall '-C 2 2'
loop_
_atom_site_label
_atom_site_type_symbol
_atom_site_fract_x
_atom_site_fract_y
_atom_site_fract_z
Er1 Er 0.0000 0.1417 0.0000
Mg1 Mg 0.0000 0.5000 0.5000
Fe1 Fe 0.0000 0.2858 0.5000

Entry 12:
# PBE-GGA Er5MgFe2, optimized geometry
# Size of the total moment   7.63 Bohr magnetons per cell
data_Er5MgFe2
_chemical_formula_sum 'Er20 Mg4 Fe8'
_cell_length_a 7.6462
_cell_length_b 7.6462
_cell_length_c 13.5067
_cell_angle_alpha 90.00
_cell_angle_beta 90.00
_cell_angle_gamma 90.00
_symmetry_space_group_name_H-M 'I 4/m c m'
_symmetry_Int_Tables_number 140
_symmetry_space_group_name_Hall '-I 4 2c'
loop_
_atom_site_label
_atom_site_type_symbol
_atom_site_fract_x
_atom_site_fract_y
_atom_site_fract_z
Er1 Er 0.0000 0.0000 0.0000
Er2 Er 0.1649 0.3351 0.1335
Mg1 Mg 0.0000 0.0000 0.2500
Fe1 Fe 0.1140 0.3860 0.5000

Entry 13:
# PBE-GGA ErMg3Fe8, optimized geometry
# Size of the total moment   47.97 Bohr magnetons per cell
data_ErMg3Fe8
_chemical_formula_sum 'Er3 Mg9 Fe24'
_cell_length_a 4.9666
_cell_length_b 4.9666
_cell_length_c 24.2172
_cell_angle_alpha 90.00
_cell_angle_beta 90.00
_cell_angle_gamma 120.00
_symmetry_space_group_name_H-M 'R 3 m'
_symmetry_Int_Tables_number 160
_symmetry_space_group_name_Hall 'R 3 -2"'
loop_
_atom_site_label
_atom_site_type_symbol
_atom_site_fract_x
_atom_site_fract_y
_atom_site_fract_z
Er1 Er 0.0000 0.0000 0.0000
Mg1 Mg 0.0000 0.0000 0.1269
Mg2 Mg 0.0000 0.0000 0.4992
Mg3 Mg 0.0000 0.0000 0.6216
Fe1 Fe 0.0000 0.0000 0.3120
Fe2 Fe 0.0000 0.0000 0.8118
Fe3 Fe 0.0002 0.5001 0.0636
Fe4 Fe 0.1670 0.3341 0.8941

Entry 14:
# PBE-GGA Er2MgFe, optimized geometry
# Size of the total moment   2.91 Bohr magnetons per cell
data_Er2MgFe
_chemical_formula_sum 'Er8 Mg4 Fe4'
_cell_length_a 13.0446
_cell_length_b 3.7559
_cell_length_c 7.7951
_cell_angle_alpha 90.00
_cell_angle_beta 95.17
_cell_angle_gamma 90.00
_symmetry_space_group_name_H-M 'C 1 2/m 1'
_symmetry_Int_Tables_number 12
_symmetry_space_group_name_Hall '-C 2y'
loop_
_atom_site_label
_atom_site_type_symbol
_atom_site_fract_x
_atom_site_fract_y
_atom_site_fract_z
Er1 Er 0.0386 0.0000 0.2862
Er2 Er 0.2295 0.0000 0.6697
Mg1 Mg 0.1296 0.5000 0.9534
Fe1 Fe 0.0859 0.5000 0.5484

Entry 15:
# PBE-GGA Er2MgFe, optimized geometry
# Size of the total moment   0.00 Bohr magnetons per cell
data_Er2MgFe
_chemical_formula_sum 'Er2 Mg1 Fe1'
_cell_length_a 3.3060
_cell_length_b 3.3060
_cell_length_c 8.3011
_cell_angle_alpha 90.00
_cell_angle_beta 90.00
_cell_angle_gamma 90.00
_symmetry_space_group_name_H-M 'P 4/m m m'
_symmetry_Int_Tables_number 123
_symmetry_space_group_name_Hall '-P 4 2'
loop_
_atom_site_label
_atom_site_type_symbol
_atom_site_fract_x
_atom_site_fract_y
_atom_site_fract_z
Er1 Er 0.0000 0.0000 0.1925
Mg1 Mg 0.5000 0.5000 0.5000
Fe1 Fe 0.5000 0.5000 0.0000

Entry 16:
# PBE-GGA Er2MgFe, optimized geometry
# Size of the total moment   3.40 Bohr magnetons per cell
data_Er2MgFe
_chemical_formula_sum 'Er6 Mg3 Fe3'
_cell_length_a 3.4010
_cell_length_b 3.4010
_cell_length_c 30.8678
_cell_angle_alpha 90.00
_cell_angle_beta 90.00
_cell_angle_gamma 120.00
_symmetry_space_group_name_H-M 'R -3 m'
_symmetry_Int_Tables_number 166
_symmetry_space_group_name_Hall '-R 3 2"'
loop_
_atom_site_label
_atom_site_type_symbol
_atom_site_fract_x
_atom_site_fract_y
_atom_site_fract_z
Er1 Er 0.0000 0.0000 0.1072
Mg1 Mg 0.0000 0.0000 0.0000
Fe1 Fe 0.0000 0.0000 0.5000

Entry 17:
# PBE-GGA ErMgFe, optimized geometry
# Size of the total moment   0.02 Bohr magnetons per cell
data_ErMgFe
_chemical_formula_sum 'Er4 Mg4 Fe4'
_cell_length_a 13.4077
_cell_length_b 3.7832
_cell_length_c 5.1585
_cell_angle_alpha 90.00
_cell_angle_beta 102.94
_cell_angle_gamma 90.00
_symmetry_space_group_name_H-M 'C 1 2/m 1'
_symmetry_Int_Tables_number 12
_symmetry_space_group_name_Hall '-C 2y'
loop_
_atom_site_label
_atom_site_type_symbol
_atom_site_fract_x
_atom_site_fract_y
_atom_site_fract_z
Er1 Er 0.1443 0.0000 0.3345
Mg1 Mg 0.0767 0.5000 0.7925
Fe1 Fe 0.2352 0.0000 0.9037

Entry 18:
# PBE-GGA ErMgFe, optimized geometry
# Size of the total moment   3.09 Bohr magnetons per cell
data_ErMgFe
_chemical_formula_sum 'Er4 Mg4 Fe4'
_cell_length_a 4.0007
_cell_length_b 17.0898
_cell_length_c 3.7168
_cell_angle_alpha 90.00
_cell_angle_beta 90.00
_cell_angle_gamma 90.00
_symmetry_space_group_name_H-M 'C m c m'
_symmetry_Int_Tables_number 63
_symmetry_space_group_name_Hall '-C 2c 2'
loop_
_atom_site_label
_atom_site_type_symbol
_atom_site_fract_x
_atom_site_fract_y
_atom_site_fract_z
Er1 Er 0.0000 0.0882 0.2500
Mg1 Mg 0.0000 0.2984 0.2500
Fe1 Fe 0.0000 0.4658 0.2500

Entry 19:
# PBE-GGA Er2MnFe, optimized geometry
# Excess energy over the best structure of this formula in the dataset   0 meV per atom
# Size of the total moment   1.74 Bohr magnetons per cell
data_Er2MnFe
_chemical_formula_sum 'Er2 Mn1 Fe1'
_cell_length_a 3.4311
_cell_length_b 3.4311
_cell_length_c 6.8167
_cell_angle_alpha 90.00
_cell_angle_beta 90.00
_cell_angle_gamma 90.00
_symmetry_space_group_name_H-M 'P 4/m m m'
_symmetry_Int_Tables_number 123
_symmetry_space_group_name_Hall '-P 4 2'
loop_
_atom_site_label
_atom_site_type_symbol
_atom_site_fract_x
_atom_site_fract_y
_atom_site_fract_z
Er1 Er 0.0000 0.0000 0.2372
Mn1 Mn 0.5000 0.5000 0.5000
Fe1 Fe 0.5000 0.5000 0.0000

Entry 20:
# PBE-GGA ErMn10Fe2, optimized geometry
# Size of the total moment   0.34 Bohr magnetons per cell
data_ErMn10Fe2
_chemical_formula_sum 'Er4 Mn40 Fe8'
_cell_length_a 8.3073
_cell_length_b 9.5247
_cell_length_c 8.0249
_cell_angle_alpha 90.00
_cell_angle_beta 90.00
_cell_angle_gamma 90.00
_symmetry_space_group_name_H-M 'C m c m'
_symmetry_Int_Tables_number 63
_symmetry_space_group_name_Hall '-C 2c 2'
loop_
_atom_site_label
_atom_site_type_symbol
_atom_site_fract_x
_atom_site_fract_y
_atom_site_fract_z
Er1 Er 0.0000 0.1222 0.2500
Mn1 Mn 0.0000 0.1668 0.6052
Mn2 Mn 0.0000 0.3956 0.0700
Mn3 Mn 0.1329 0.3840 0.7500
Mn4 Mn 0.2248 0.0000 0.0000
Mn5 Mn 0.2403 0.3696 0.2500
Fe1 Fe 0.2500 0.2500 0.0000

Entry 21:
# PBE-GGA Er2Mn2Fe15, optimized geometry
# Size of the total moment   61.48 Bohr magnetons per cell
data_Er2Mn2Fe15
_chemical_formula_sum 'Er6 Mn6 Fe45'
_cell_length_a 8.2544
_cell_length_b 8.2544
_cell_length_c 12.2913
_cell_angle_alpha 90.00
_cell_angle_beta 90.00
_cell_angle_gamma 120.00
_symmetry_space_group_name_H-M 'R -3 m'
_symmetry_Int_Tables_number 166
_symmetry_space_group_name_Hall '-R 3 2"'
loop_
_atom_site_label
_atom_site_type_symbol
_atom_site_fract_x
_atom_site_fract_y
_atom_site_fract_z
Er1 Er 0.0000 0.0000 0.1546
Mn1 Mn 0.0000 0.0000 0.4096
Fe1 Fe 0.0000 0.3034 0.5000
Fe2 Fe 0.0000 0.5000 0.0000
Fe3 Fe 0.0050 0.5025 0.3404

Entry 22:
# PBE-GGA ErMnFe10, optimized geometry
# Size of the total moment   22.93 Bohr magnetons per cell
data_ErMnFe10
_chemical_formula_sum 'Er1 Mn1 Fe10'
_cell_length_a 3.9748
_cell_length_b 4.8225
_cell_length_c 8.3589
_cell_angle_alpha 90.00
_cell_angle_beta 90.00
_cell_angle_gamma 90.00
_symmetry_space_group_name_H-M 'P m m m'
_symmetry_Int_Tables_number 47
_symmetry_space_group_name_Hall '-P 2 2'
loop_
_atom_site_label
_atom_site_type_symbol
_atom_site_fract_x
_atom_site_fract_y
_atom_site_fract_z
Er1 Er 0.0000 0.0000 0.0000
Mn1 Mn 0.0000 0.5000 0.5000
Fe1 Fe 0.0000 0.0000 0.3419
Fe2 Fe 0.0000 0.5000 0.1780
Fe3 Fe 0.5000 0.0000 0.5000
Fe4 Fe 0.5000 0.2525 0.2567
Fe5 Fe 0.5000 0.5000 0.0000

Entry 23:
# PBE-GGA ErMnFe, optimized geometry
# Excess energy over the best structure of this formula in the dataset   35 meV per atom
# Size of the total moment   0.00 Bohr magnetons per cell
data_ErMnFe
_chemical_formula_sum 'Er1 Mn1 Fe1'
_cell_length_a 3.7124
_cell_length_b 3.7124
_cell_length_c 4.3339
_cell_angle_alpha 90.00
_cell_angle_beta 90.00
_cell_angle_gamma 120.00
_symmetry_space_group_name_H-M 'P -6 m 2'
_symmetry_Int_Tables_number 187
_symmetry_space_group_name_Hall 'P -6 2'
loop_
_atom_site_label
_atom_site_type_symbol
_atom_site_fract_x
_atom_site_fract_y
_atom_site_fract_z
Er1 Er 0.0000 0.0000 0.0000
Mn1 Mn 0.6667 0.3333 0.5000
Fe1 Fe 0.3333 0.6667 0.5000

Calculated values (eV per atom) of E_form for the records, taken in order: 0.093; 0.054; 0.077; 0.108; -0.380; -0.108; -0.019; -0.022; -0.050; -0.080; -0.056; 0.009; 0.030; -0.037; -0.036; 0.311; 0.004; -0.056; 0.150; 0.005; -0.003; 0.139; 0.029.